VASP calculation (PBE) on a relaxed TbErTh2Bi5 crystal.

Properties
Total magnetization = 0.000 μB per formula unit
Crystal system = tetragonal
Formation energy from the elements = 6.7 kJ/mol of atoms
DFT total energy = -42.81 eV per cell

Cell: 5.4357 5.4357 11.6918 Å, 90.00 90.00 90.00°
Atoms (fractional coordinates):
Bi: 0.5000 0.5000 0.0000
Th: 0.5000 0.5000 0.2982
Bi: 0.0000 0.5000 0.5000
Tb: 0.0000 0.0000 0.5000
Bi: 0.0000 0.0000 0.7541
Th: 0.5000 0.5000 0.7018
Er: 0.0000 0.0000 0.0000
Bi: 0.5000 0.0000 0.5000
Bi: 0.0000 0.0000 0.2459


VASP calculation (PBE) on a relaxed TbEr2TmBi5 crystal.

Properties
Total magnetization = 0.000 μB per formula unit
Crystal system = tetragonal
Formation energy from the elements = 4.6 kJ/mol of atoms
DFT total energy = -37.20 eV per cell

Cell: 5.3542 5.3542 11.8781 Å, 90.00 90.00 90.00°
Atoms (fractional coordinates):
Bi: 0.5000 0.0000 0.5000
Tm: 0.0000 0.0000 0.5000
Bi: 0.0000 0.5000 0.5000
Er: 0.5000 0.5000 0.2648
Bi: 0.0000 0.0000 0.7528
Er: 0.5000 0.5000 0.7352
Bi: 0.5000 0.5000 0.0000
Tb: 0.0000 0.0000 0.0000
Bi: 0.0000 0.0000 0.2472


VASP calculation (PBE) on a relaxed Tb3Er2TmBi6 crystal.

Properties
Total magnetization = 0.000 μB per formula unit
Crystal system = monoclinic
Formation energy from the elements = -81.1 kJ/mol of atoms
DFT total energy = -60.87 eV per cell

Cell: 4.4636 8.9282 9.9789 Å, 102.84 102.92 90.00°
Atoms (fractional coordinates):
Bi: 0.3344 0.9152 0.6688
Tm: 0.5000 0.0000 0.0000
Bi: 0.3326 0.4186 0.6652
Er: 0.8334 0.6669 0.6669
Bi: 0.6656 0.0848 0.3312
Tb: 0.5000 0.5000 0.0000
Tb: 0.8332 0.1668 0.6663
Tb: 0.1668 0.8332 0.3337
Bi: 0.9994 0.7527 0.9987
Bi: 0.6674 0.5814 0.3348
Er: 0.1666 0.3331 0.3331
Bi: 0.0006 0.2473 0.0013